{
  "formula": "SiNiAg3",
  "functional": "PBE",
  "state": "relaxed",
  "lattice_angstrom": [[4.750, 0.000, 0.000], [0.000, 4.750, 0.000], [0.000, 0.000, 4.750]],
  "species": ["Si", "Ni", "Ag", "Ag", "Ag"],
  "fractional_positions": [[0.000, 0.000, 0.000], [0.500, 0.500, 0.500], [0.000, 0.500, 0.500], [0.500, 0.000, 0.500], [0.500, 0.500, 0.000]],
  "final_energy_ev_per_atom": -2.96,
  "polymorph_energy_ev_per_fu": 0.90,
  "n_ef_per_ev_atom": 0.632
}

***

{
  "formula": "SiNi2Ag",
  "functional": "PBE",
  "state": "relaxed",
  "lattice_angstrom": [[3.673, 0.000, 0.000], [0.000, 3.673, 0.000], [0.000, 0.000, 7.566]],
  "species": ["Si", "Si", "Ni", "Ni", "Ni", "Ni", "Ag", "Ag"],
  "fractional_positions": [[0.000, 0.000, 0.000], [0.500, 0.500, 0.500], [0.000, 0.000, 0.500], [0.000, 0.500, 0.250], [0.500, 0.000, 0.750], [0.500, 0.500, 0.000], [0.000, 0.500, 0.750], [0.500, 0.000, 0.250]],
  "final_energy_ev_per_atom": -4.94,
  "n_ef_per_ev_atom": 0.729
}

***

{
  "formula": "SiNi2Ag",
  "functional": "PBE",
  "state": "relaxed",
  "lattice_angstrom": [[3.231, 0.000, 0.000], [0.000, 4.270, 0.000], [0.000, 0.000, 7.573]],
  "species": ["Si", "Si", "Ni", "Ni", "Ni", "Ni", "Ag", "Ag"],
  "fractional_positions": [[0.000, 0.000, 0.000], [0.500, 0.500, 0.500], [0.000, 0.500, 0.285], [0.000, 0.500, 0.715], [0.500, 0.000, 0.215], [0.500, 0.000, 0.785], [0.000, 0.000, 0.500], [0.500, 0.500, 0.000]],
  "final_energy_ev_per_atom": -5.03,
  "n_ef_per_ev_atom": 0.494
}